Crystalline Ce2Nd5Pb4 at its relaxed geometry, computed with PBE-GGA.

Summary:
density of states at the Fermi level: 18.0 states/eV/f.u.
energy relative to the elements: -48 meV per atom
E_tot: -4.6422 eV per atom
volume: 354.42 Å³/cell

Cell lengths 3.566, 8.425, 14.213 Å; angles 122.93, 97.21, 90.00 degrees
Sites, in units of the cell vectors:
Ce: 0.266 0.363 0.532
Ce: 0.734 0.637 0.468
Pb: 0.407 0.534 0.814
Pb: 0.961 0.272 0.921
Pb: 0.039 0.728 0.079
Pb: 0.593 0.466 0.186
Nd: 0.132 0.206 0.264
Nd: 0.180 0.872 0.360
Nd: 0.500 0.000 0.000
Nd: 0.820 0.128 0.640
Nd: 0.868 0.794 0.736

---

Crystalline Ce2NdPb at its relaxed geometry, computed with PBE-GGA.

Summary:
density of states at the Fermi level: 14.2 states/eV/f.u.
energy relative to the elements: -46 meV per atom
E_tot: -5.1315 eV per atom
volume: 121.30 Å³/cell

Cell lengths 5.556, 5.556, 5.556 Å; angles 60.00, 60.00, 60.00 degrees
Sites, in units of the cell vectors:
Ce: 0.750 0.750 0.750
Ce: 0.250 0.250 0.250
Nd: 0.500 0.500 0.500
Pb: 0.000 0.000 0.000

---

Crystalline Ce5NdPb5 at its relaxed geometry, computed with PBE-GGA.

Summary:
density of states at the Fermi level: 30.9 states/eV/f.u.
energy relative to the elements: -185 meV per atom
E_tot: -5.0011 eV per atom
volume: 395.72 Å³/cell

Cell lengths 6.433, 7.871, 9.002 Å; angles 106.37, 90.00, 114.12 degrees
Sites, in units of the cell vectors:
Ce: 0.667 0.334 0.834
Ce: 0.662 0.324 0.335
Ce: 0.000 0.000 0.500
Ce: 0.333 0.666 0.166
Ce: 0.338 0.676 0.665
Pb: 0.169 0.338 0.827
Pb: 0.168 0.335 0.339
Pb: 0.831 0.662 0.173
Pb: 0.832 0.665 0.661
Pb: 0.500 0.000 0.000
Nd: 0.000 0.000 0.000

---

Crystalline Ce5NdPb4 at its relaxed geometry, computed with PBE-GGA.

Summary:
density of states at the Fermi level: 26.7 states/eV/f.u.
energy relative to the elements: -260 meV per atom
E_tot: -5.1868 eV per atom
volume: 641.00 Å³/cell

Cell lengths 4.610, 12.339, 11.269 Å; angles 90.00, 90.00, 90.00 degrees
Sites, in units of the cell vectors:
Pb: 0.293 0.754 0.500
Pb: 0.699 0.000 0.290
Pb: 0.301 0.500 0.210
Pb: 0.707 0.254 0.000
Pb: 0.707 0.746 0.000
Pb: 0.301 0.500 0.790
Pb: 0.699 0.000 0.710
Pb: 0.293 0.246 0.500
Nd: 0.710 0.000 0.000
Nd: 0.290 0.500 0.500
Ce: 0.204 0.182 0.190
Ce: 0.796 0.682 0.690
Ce: 0.812 0.500 0.000
Ce: 0.796 0.318 0.310
Ce: 0.204 0.182 0.810
Ce: 0.796 0.318 0.690
Ce: 0.204 0.818 0.190
Ce: 0.204 0.818 0.810
Ce: 0.796 0.682 0.310
Ce: 0.188 0.000 0.500

---

Crystalline Ce6NdPb10 at its relaxed geometry, computed with PBE-GGA.

Summary:
density of states at the Fermi level: 39.0 states/eV/f.u.
energy relative to the elements: -332 meV per atom
E_tot: -4.8879 eV per atom
volume: 522.17 Å³/cell

Cell lengths 6.555, 9.591, 9.591 Å; angles 120.00, 90.00, 90.00 degrees
Sites, in units of the cell vectors:
Pb: 0.500 0.667 0.333
Pb: 0.000 0.667 0.333
Pb: 0.787 0.727 0.727
Pb: 0.787 0.273 0.000
Pb: 0.213 0.727 0.000
Pb: 0.213 0.000 0.727
Pb: 0.213 0.273 0.273
Pb: 0.500 0.333 0.667
Pb: 0.000 0.333 0.667
Pb: 0.787 0.000 0.273
Ce: 0.735 0.384 0.384
Ce: 0.265 0.384 0.000
Ce: 0.735 0.000 0.616
Ce: 0.265 0.000 0.384
Ce: 0.265 0.616 0.616
Ce: 0.735 0.616 0.000
Nd: 0.500 0.000 0.000

---

Crystalline Ce2NdPb9 at its relaxed geometry, computed with PBE-GGA.

Summary:
density of states at the Fermi level: 14.8 states/eV/f.u.
energy relative to the elements: -356 meV per atom
E_tot: -4.5237 eV per atom
volume: 356.64 Å³/cell

Cell lengths 4.915, 4.915, 14.764 Å; angles 90.00, 90.00, 90.00 degrees
Sites, in units of the cell vectors:
Pb: 0.500 0.500 0.000
Pb: 0.500 0.500 0.334
Pb: 0.500 0.000 0.168
Pb: 0.000 0.500 0.168
Pb: 0.500 0.500 0.666
Pb: 0.000 0.500 0.500
Pb: 0.000 0.500 0.832
Pb: 0.500 0.000 0.500
Pb: 0.500 0.000 0.832
Nd: 0.000 0.000 0.000
Ce: 0.000 0.000 0.336
Ce: 0.000 0.000 0.664

---

Crystalline CeNd3Pb3 at its relaxed geometry, computed with PBE-GGA.

Summary:
density of states at the Fermi level: 11.9 states/eV/f.u.
energy relative to the elements: -335 meV per atom
E_tot: -4.8150 eV per atom
volume: 446.32 Å³/cell

Cell lengths 5.640, 9.559, 9.559 Å; angles 120.00, 90.00, 90.00 degrees
Sites, in units of the cell vectors:
Pb: 0.250 0.376 0.922
Pb: 0.750 0.922 0.547
Pb: 0.250 0.078 0.453
Pb: 0.750 0.453 0.376
Pb: 0.750 0.624 0.078
Pb: 0.250 0.547 0.624
Nd: 0.750 0.007 0.244
Nd: 0.250 0.244 0.236
Nd: 0.750 0.236 0.993
Nd: 0.750 0.756 0.764
Nd: 0.250 0.993 0.756
Nd: 0.250 0.764 0.007
Ce: 0.250 0.667 0.333
Ce: 0.750 0.333 0.667

---

Crystalline Ce2NdPb at its relaxed geometry, computed with PBE-GGA.

Summary:
density of states at the Fermi level: 10.2 states/eV/f.u.
energy relative to the elements: -185 meV per atom
E_tot: -5.2711 eV per atom
volume: 126.22 Å³/cell

Cell lengths 4.289, 4.289, 6.863 Å; angles 90.00, 90.00, 90.00 degrees
Sites, in units of the cell vectors:
Pb: 0.500 0.500 0.500
Ce: 0.000 0.000 0.703
Ce: 0.000 0.000 0.297
Nd: 0.500 0.500 0.000